Cs2YZrAg: PBEsol geometry, SCAN. Values from VASP.

The calculation puts the density of states at the Fermi level at 1.79 states/eV/atom. The electronic total energy comes out at -31.59 eV per atom. The volume is 44.394 Å³ per atom. The value obtained for the formation energy is 1.5158 eV/atom.

Cell and atoms, written as Quantum ESPRESSO input:
```
&SYSTEM
  ibrav = 0, nat = 5, ntyp = 4
/
ATOMIC_SPECIES
Cs 132.91 Cs.upf
Y 88.91 Y.upf
Zr 91.22 Zr.upf
Ag 107.87 Ag.upf
ATOMIC_POSITIONS angstrom
Cs 0.000 0.000 3.252
Cs 0.000 3.252 0.000
Y 0.000 0.000 0.000
Zr 2.624 3.252 3.252
Ag 2.624 0.000 0.000
CELL_PARAMETERS angstrom
5.248 0.000 0.000
0.000 6.504 0.000
0.000 0.000 6.504
```